# KCaBr2 | Alexandria via LeMat-Bulk | PBE | relaxed
# * offset from the most stable computed form: 0.119 eV/atom
# * crystal system: tetragonal
# * formation energy from raw total energies: -5.46 eV/f.u.
data_KCaBr2
_space_group_name_H-M_alt 'I -4 2 d'
_space_group_IT_number 122
_space_group_name_Hall 'I -4 2bw'
_cell_length_a 7.265
_cell_length_b 7.265
_cell_length_c 14.147
_cell_angle_alpha 90.00
_cell_angle_beta 90.00
_cell_angle_gamma 90.00
loop_
_atom_site_label
_atom_site_type_symbol
_atom_site_fract_x
_atom_site_fract_y
_atom_site_fract_z
K1 K 0.000 0.000 0.000
Ca1 Ca 0.000 0.000 0.500
Br1 Br 0.193 0.250 0.625

# In2AgIr | Alexandria via LeMat-Bulk | PBE | relaxed
# * crystal system: monoclinic
# * E_form: 0.0364 eV per atom
data_In2AgIr
_space_group_name_H-M_alt 'C 1 m 1'
_space_group_IT_number 8
_cell_length_a 10.422
_cell_length_b 3.115
_cell_length_c 4.798
_cell_angle_alpha 90.00
_cell_angle_beta 104.74
_cell_angle_gamma 90.00
loop_
_space_group_symop_operation_xyz
'x,y,z'
'x,-y,z'
'x+1/2,y+1/2,z'
'x+1/2,-y+1/2,z'
loop_
_atom_site_label
_atom_site_type_symbol
_atom_site_fract_x
_atom_site_fract_y
_atom_site_fract_z
In1 In 0.000 0.000 0.000
In2 In 0.225 0.000 0.632
Ag1 Ag 0.466 0.000 0.472
Ir1 Ir 0.235 0.500 0.131

# PSe2Br | Alexandria via LeMat-Bulk | PBE | relaxed
# * offset from the most stable computed form: 0.162 eV/atom
# * crystal system: trigonal
# * formation energy from raw total energies: 0.57 eV/f.u.
data_PSe2Br
_space_group_name_H-M_alt 'R -3 m'
_space_group_IT_number 166
_space_group_name_Hall '-R 3 2"'
_cell_length_a 3.4323
_cell_length_b 3.4323
_cell_length_c 27.7546
_cell_angle_alpha 90.00
_cell_angle_beta 90.00
_cell_angle_gamma 120.00
loop_
_atom_site_label
_atom_site_type_symbol
_atom_site_fract_x
_atom_site_fract_y
_atom_site_fract_z
P1 P 0.0000 0.0000 0.0000
Se1 Se 0.0000 0.0000 0.2793
Br1 Br 0.0000 0.0000 0.5000

# CaLa2Hf | Alexandria via LeMat-Bulk | PBE | relaxed
# * offset from the most stable computed form: 0.459 eV/atom
# * crystal system: tetragonal
# * E_form: 0.6126 eV per atom
data_CaLa2Hf
_space_group_name_H-M_alt 'I -4 2 d'
_space_group_IT_number 122
_space_group_name_Hall 'I -4 2bw'
_cell_length_a 8.934
_cell_length_b 8.934
_cell_length_c 6.777
_cell_angle_alpha 90.00
_cell_angle_beta 90.00
_cell_angle_gamma 90.00
loop_
_atom_site_label
_atom_site_type_symbol
_atom_site_fract_x
_atom_site_fract_y
_atom_site_fract_z
Ca1 Ca 0.000 0.000 0.000
La1 La 0.218 0.750 0.625
Hf1 Hf 0.000 0.000 0.500

# KCrOs | Alexandria via LeMat-Bulk | PBE | relaxed
# * offset from the most stable computed form: 1.898 eV/atom
# * crystal system: cubic
# * E_form: 2.7526 eV per atom
data_KCrOs
_space_group_name_H-M_alt 'F -4 3 m'
_space_group_IT_number 216
_space_group_name_Hall 'F -4 2 3'
_cell_length_a 6.779
_cell_length_b 6.779
_cell_length_c 6.779
_cell_angle_alpha 90.00
_cell_angle_beta 90.00
_cell_angle_gamma 90.00
loop_
_atom_site_label
_atom_site_type_symbol
_atom_site_fract_x
_atom_site_fract_y
_atom_site_fract_z
K1 K 0.000 0.000 0.000
Cr1 Cr 0.250 0.250 0.250
Os1 Os 0.250 0.250 0.750

# HfFePCl2 | Alexandria via LeMat-Bulk | PBE | relaxed
# * offset from the most stable computed form: 0.260 eV/atom
# * crystal system: tetragonal
# * formation energy from raw total energies: 1.16 eV/f.u.
data_HfFePCl2
_space_group_name_H-M_alt 'P 4/m m m'
_space_group_IT_number 123
_space_group_name_Hall '-P 4 2'
_cell_length_a 4.292
_cell_length_b 4.292
_cell_length_c 4.856
_cell_angle_alpha 90.00
_cell_angle_beta 90.00
_cell_angle_gamma 90.00
loop_
_atom_site_label
_atom_site_type_symbol
_atom_site_fract_x
_atom_site_fract_y
_atom_site_fract_z
Hf1 Hf 0.000 0.000 0.000
Fe1 Fe 0.500 0.500 0.500
P1 P 0.500 0.500 0.000
Cl1 Cl 0.000 0.500 0.500

# LiZr2Sc | Alexandria via LeMat-Bulk | PBE | relaxed
# * crystal system: orthorhombic
# * E_form: 0.1639 eV per atom
data_LiZr2Sc
_space_group_name_H-M_alt 'P m m 2'
_space_group_IT_number 25
_cell_length_a 3.227
_cell_length_b 4.302
_cell_length_c 6.455
_cell_angle_alpha 90.00
_cell_angle_beta 90.00
_cell_angle_gamma 90.00
loop_
_space_group_symop_operation_xyz
'x,y,z'
'-x,-y,z'
'-x,y,z'
'x,-y,z'
loop_
_atom_site_label
_atom_site_type_symbol
_atom_site_fract_x
_atom_site_fract_y
_atom_site_fract_z
Li1 Li 0.000 0.000 0.000
Zr1 Zr 0.000 0.000 0.512
Zr2 Zr 0.500 0.500 0.740
Sc1 Sc 0.500 0.500 0.254

# Nd3TmHg2 | Alexandria via LeMat-Bulk | PBE | relaxed
# * offset from the most stable computed form: 0.000 eV/atom
# * crystal system: orthorhombic
# * E_form: -0.3254 eV per atom
data_Nd3TmHg2
_space_group_name_H-M_alt 'P m c 21'
_space_group_IT_number 26
_cell_length_a 5.293
_cell_length_b 9.575
_cell_length_c 7.020
_cell_angle_alpha 90.00
_cell_angle_beta 90.00
_cell_angle_gamma 90.00
loop_
_space_group_symop_operation_xyz
'x,y,z'
'-x,-y,z+1/2'
'-x,y,z'
'x,-y,z+1/2'
loop_
_atom_site_label
_atom_site_type_symbol
_atom_site_fract_x
_atom_site_fract_y
_atom_site_fract_z
Nd1 Nd 0.000 0.050 0.000
Nd2 Nd 0.000 0.332 0.330
Nd3 Nd 0.500 0.178 0.691
Tm1 Tm 0.500 0.450 0.026
Hg1 Hg 0.000 0.350 0.787
Hg2 Hg 0.500 0.154 0.240

# LiLa2GeO | Alexandria via LeMat-Bulk | PBE | relaxed
# * crystal system: tetragonal
# * formation energy from raw total energies: -7.66 eV/f.u.
data_LiLa2GeO
_space_group_name_H-M_alt 'P 4/m m m'
_space_group_IT_number 123
_space_group_name_Hall '-P 4 2'
_cell_length_a 5.004
_cell_length_b 5.004
_cell_length_c 4.217
_cell_angle_alpha 90.00
_cell_angle_beta 90.00
_cell_angle_gamma 90.00
loop_
_atom_site_label
_atom_site_type_symbol
_atom_site_fract_x
_atom_site_fract_y
_atom_site_fract_z
Li1 Li 0.000 0.000 0.000
La1 La 0.000 0.500 0.500
Ge1 Ge 0.500 0.500 0.000
O1 O 0.000 0.000 0.500

# BeNbCu | Alexandria via LeMat-Bulk | PBE | relaxed
# * offset from the most stable computed form: 0.172 eV/atom
# * crystal system: orthorhombic
# * E_form: 0.0901 eV per atom
data_BeNbCu
_space_group_name_H-M_alt 'C m c m'
_space_group_IT_number 63
_space_group_name_Hall '-C 2c 2'
_cell_length_a 4.581
_cell_length_b 6.825
_cell_length_c 5.001
_cell_angle_alpha 90.00
_cell_angle_beta 90.00
_cell_angle_gamma 90.00
loop_
_atom_site_label
_atom_site_type_symbol
_atom_site_fract_x
_atom_site_fract_y
_atom_site_fract_z
Be1 Be 0.000 0.213 0.250
Nb1 Nb 0.000 0.146 0.750
Cu1 Cu 0.000 0.500 0.000

# PrTi5 | Alexandria via LeMat-Bulk | PBE | relaxed
# * crystal system: orthorhombic
# * E_form: 0.2412 eV per atom
data_PrTi5
_space_group_name_H-M_alt 'C m m m'
_space_group_IT_number 65
_space_group_name_Hall '-C 2 2'
_cell_length_a 4.200
_cell_length_b 13.064
_cell_length_c 4.300
_cell_angle_alpha 90.00
_cell_angle_beta 90.00
_cell_angle_gamma 90.00
loop_
_atom_site_label
_atom_site_type_symbol
_atom_site_fract_x
_atom_site_fract_y
_atom_site_fract_z
Pr1 Pr 0.000 0.000 0.000
Ti1 Ti 0.000 0.176 0.500
Ti2 Ti 0.000 0.321 0.000
Ti3 Ti 0.000 0.500 0.500

# HoAlZnPt | Alexandria via LeMat-Bulk | PBE | relaxed
# * crystal system: cubic
# * E_form: -0.7461 eV per atom
data_HoAlZnPt
_space_group_name_H-M_alt 'F -4 3 m'
_space_group_IT_number 216
_space_group_name_Hall 'F -4 2 3'
_cell_length_a 6.605
_cell_length_b 6.605
_cell_length_c 6.605
_cell_angle_alpha 90.00
_cell_angle_beta 90.00
_cell_angle_gamma 90.00
loop_
_atom_site_label
_atom_site_type_symbol
_atom_site_fract_x
_atom_site_fract_y
_atom_site_fract_z
Ho1 Ho 0.000 0.000 0.000
Al1 Al 0.000 0.000 0.500
Zn1 Zn 0.250 0.250 0.250
Pt1 Pt 0.250 0.250 0.750

Q: Which energy values were calculated for the entries above? A: -47.62 -34.09 -40.44 -77.44 -54.77 -26.36 -24.69 -42.66 -29.00 -70.49 -85.61 -74.48, in eV per cell.